This record from Alexandria describes crystalline SrPmTm at its relaxed geometry. The functional is PBE.

Cell: 3.7378 3.7378 9.2867 Å, 90.00 90.00 120.00°
Last column: nearest neighbours and their distance in Å.
Positions (direct):
Tm  0.3333  0.6667  0.6489  3 Pm 3.47, 6 Tm 3.74, 3 Sr 3.87
Pm  0.6667  0.3333  0.3564  3 Tm 3.47, 6 Pm 3.74
Sr  0.0000  0.0000  0.9947  6 Sr 3.74, 3 Tm 3.87, 3 Pm 3.99

## Properties
- distance to the lowest polymorph of the same formula (eV per formula unit) = 0.07
- total energy (eV per atom) = -3.486
- spin magnetization (μB per formula unit) = 0.000